Material: InGaAsO6
Method: DFT, PBE-GGA
State: optimized geometry

The structure belongs to space group P-31c (No. 163); the cell edges are 5.0685, 5.0685 and 9.0689 Å and the angles 90.00°, 90.00° and 120.00°. The asymmetric unit holds In at (0.0000, 0.0000, 0.0000), Ga at (0.3333, 0.6667, 0.2500), As at (0.3333, 0.6667, 0.7500) and O at (0.0199, 0.3695, 0.6367).

For the final energy, the calculation gives -5.78 eV/atom.